Below is an optimized crystal structure of LiAcSmCu, with properties calculated at the PBE-GGA level. Values from VASP.

Summary:
total moment = 0.00 μB/atom
D(E_F) = 4.8 states/eV/f.u.
energy of formation from the pure elements = 47 meV/atom
space-group type = No. 216

Structure (Quantum ESPRESSO input):
```
&SYSTEM
  ibrav = 0, nat = 4, ntyp = 4
/
ATOMIC_SPECIES
Sm 150.36 Sm.upf
Ac 227.00 Ac.upf
Cu 63.55 Cu.upf
Li 6.94 Li.upf
CELL_PARAMETERS angstrom
5.3340 0.0000 0.0000
2.6670 4.6194 0.0000
2.6670 1.5398 4.3552
ATOMIC_POSITIONS angstrom
Sm 5.3340 3.0796 2.1776
Ac 0.0000 0.0000 0.0000
Cu 2.6670 1.5398 1.0888
Li 8.0011 4.6194 3.2664
```